(1)
## YAs2Pt (SCAN)

Data for YAs2Pt at its PBEsol-relaxed geometry.

The formation enthalpy at 0 K is -770 meV per atom. The total energy comes out at -35.3746 eV/atom.

abc: 4.444 4.444 3.672
angles: 90.00 90.00 90.00
Space group P4/mmm (No. 123)
Asymmetric unit:
Y1 0.000 0.000 0.000 [1 per cell]
As1 0.000 0.500 0.500 [2 per cell]
Pt1 0.500 0.500 0.000 [1 per cell]

***

(2)
## NbClF2 (SCAN)

Data for NbClF2 at its PBEsol-relaxed geometry.

The energy above the most stable polymorph in this dataset comes out at 194.0 meV per atom. For the uncorrected formation energy, the calculation gives -1593.1 meV/atom. The total energy comes out at -13.6400 eV/atom.

abc: 2.8062 2.8062 28.9776
angles: 90.00 90.00 120.00
Space group R-3m (No. 166, hexagonal axes)
Asymmetric unit:
Nb1 0.0000 0.0000 0.0000 [3 per cell]
Cl1 0.0000 0.0000 0.5000 [3 per cell]
F1 0.0000 0.0000 0.3845 [6 per cell]

***

(3)
## MgSc3 (SCAN)

Data for MgSc3 at its PBEsol-relaxed geometry.

The formation enthalpy at 0 K is 44 meV per atom. The energy above the most stable polymorph in this dataset comes out at 58.1 meV per atom. The total energy comes out at -11.8775 eV/atom.

abc: 3.2145 3.2145 10.5350
angles: 90.00 90.00 120.00
Space group P-6m2 (No. 187)
Asymmetric unit:
Mg1 0.0000 0.0000 0.0000 [1 per cell]
Sc1 0.0000 0.0000 0.5000 [1 per cell]
Sc2 0.3333 0.6667 0.2586 [2 per cell]

***

(4)
## CrTc2Ni (SCAN)

Data for CrTc2Ni at its PBEsol-relaxed geometry.

The formation enthalpy at 0 K is 105 meV per atom. The energy above the most stable polymorph in this dataset comes out at 90.7 meV per atom. The total energy comes out at -26.0647 eV/atom.

abc: 2.572 4.078 4.861
angles: 90.00 102.90 90.00
Space group Pm (No. 6)
Asymmetric unit:
Cr1 0.000 0.000 0.000 [1 per cell]
Tc1 0.344 0.500 0.790 [1 per cell]
Tc2 0.637 0.000 0.485 [1 per cell]
Ni1 0.049 0.500 0.264 [1 per cell]

***

- Look up the total energy of the third one.
  -11.8775 eV/atom

***

- What is the formula in the third record?
  MgSc3